Density functional theory data (PBEsol) for a relaxed ZnAsSe crystal.

Geometry as CIF:
```
data_ZnAsSe
_chemical_formula_sum 'Zn4 As4 Se4'
_space_group_name_H-M_alt 'F -4 3 m'
_space_group_IT_number 216
_space_group_name_Hall 'F -4 2 3'
_cell_length_a 6.234
_cell_length_b 6.234
_cell_length_c 6.234
_cell_angle_alpha 90.00
_cell_angle_beta 90.00
_cell_angle_gamma 90.00
loop_
_atom_site_label
_atom_site_type_symbol
_atom_site_fract_x
_atom_site_fract_y
_atom_site_fract_z
Zn1 Zn 0.000 0.000 0.000
As1 As 0.250 0.250 0.750
Se1 Se 0.250 0.250 0.250
```

The formation energy without anion corrections comes out at 0.214 eV/atom.

---

Density functional theory data (PBEsol) for a relaxed NaGaOs3 crystal.

Geometry as CIF:
```
data_NaGaOs3
_chemical_formula_sum 'Na1 Ga1 Os3'
_space_group_name_H-M_alt 'P m -3 m'
_space_group_IT_number 221
_space_group_name_Hall '-P 4 2 3'
_cell_length_a 4.392
_cell_length_b 4.392
_cell_length_c 4.392
_cell_angle_alpha 90.00
_cell_angle_beta 90.00
_cell_angle_gamma 90.00
loop_
_atom_site_label
_atom_site_type_symbol
_atom_site_fract_x
_atom_site_fract_y
_atom_site_fract_z
Na1 Na 0.000 0.000 0.000
Ga1 Ga 0.500 0.500 0.500
Os1 Os 0.000 0.000 0.500
```

The value obtained for the formation energy is 3.109 eV/atom.

---

Density functional theory data (PBEsol) for a relaxed CrAsRu crystal.

Geometry as CIF:
```
data_CrAsRu
_chemical_formula_sum 'Cr1 As1 Ru1'
_space_group_name_H-M_alt 'P 3 m 1'
_space_group_IT_number 156
_space_group_name_Hall 'P 3 -2"'
_cell_length_a 2.7654
_cell_length_b 2.7654
_cell_length_c 6.0349
_cell_angle_alpha 90.00
_cell_angle_beta 90.00
_cell_angle_gamma 120.00
loop_
_atom_site_label
_atom_site_type_symbol
_atom_site_fract_x
_atom_site_fract_y
_atom_site_fract_z
Cr1 Cr 0.0000 0.0000 0.0000
As1 As 0.3333 0.6667 0.3276
Ru1 Ru 0.6667 0.3333 0.6859
```

The value obtained for the formation energy is 0.130 eV/atom.

---

Density functional theory data (PBEsol) for a relaxed ScCr2In crystal.

Geometry as CIF:
```
data_ScCr2In
_chemical_formula_sum 'Sc1 Cr2 In1'
_space_group_name_H-M_alt 'P 4/m m m'
_space_group_IT_number 123
_space_group_name_Hall '-P 4 2'
_cell_length_a 3.224
_cell_length_b 3.224
_cell_length_c 6.532
_cell_angle_alpha 90.00
_cell_angle_beta 90.00
_cell_angle_gamma 90.00
loop_
_atom_site_label
_atom_site_type_symbol
_atom_site_fract_x
_atom_site_fract_y
_atom_site_fract_z
Sc1 Sc 0.000 0.000 0.000
Cr1 Cr 0.500 0.500 0.250
In1 In 0.000 0.000 0.500
```

The value obtained for the formation energy is 0.385 eV/atom.

---

Density functional theory data (PBEsol) for a relaxed LuThRu2 crystal.

Geometry as CIF:
```
data_LuThRu2
_chemical_formula_sum 'Lu4 Th4 Ru8'
_space_group_name_H-M_alt 'F m -3 m'
_space_group_IT_number 225
_space_group_name_Hall '-F 4 2 3'
_cell_length_a 6.792
_cell_length_b 6.792
_cell_length_c 6.792
_cell_angle_alpha 90.00
_cell_angle_beta 90.00
_cell_angle_gamma 90.00
loop_
_atom_site_label
_atom_site_type_symbol
_atom_site_fract_x
_atom_site_fract_y
_atom_site_fract_z
Lu1 Lu 0.000 0.000 0.000
Th1 Th 0.000 0.000 0.500
Ru1 Ru 0.250 0.250 0.250
```

The value obtained for the formation energy is -0.427 eV/atom.

---

Density functional theory data (PBEsol) for a relaxed Zr2TeSe crystal.

Geometry as CIF:
```
data_Zr2TeSe
_chemical_formula_sum 'Zr8 Te4 Se4'
_space_group_name_H-M_alt 'F m -3 m'
_space_group_IT_number 225
_space_group_name_Hall '-F 4 2 3'
_cell_length_a 6.850
_cell_length_b 6.850
_cell_length_c 6.850
_cell_angle_alpha 90.00
_cell_angle_beta 90.00
_cell_angle_gamma 90.00
loop_
_atom_site_label
_atom_site_type_symbol
_atom_site_fract_x
_atom_site_fract_y
_atom_site_fract_z
Zr1 Zr 0.250 0.250 0.250
Te1 Te 0.000 0.000 0.000
Se1 Se 0.000 0.000 0.500
```

The formation energy without anion corrections comes out at -1.008 eV/atom.

---

Density of states at the Fermi level list, top to bottom, in states/eV per atom: 0.49 2.07 0.90 0.84 0.50 0.33